Below is AgSb2Au at its PBEsol-relaxed geometry, with properties calculated at the meta-GGA SCAN level.

Computed properties:
The space group is F-43m, No. 216. As for the raw total energy: -174.00 eV for the cell shown. Its total magnetic moment is 0.0 μB/f.u. Its formation energy from raw total energies is 25 kJ/mol of atoms.

Lattice parameters (Å, degrees): 4.982 4.982 4.982 60.00 60.00 60.00
Atoms (fractional coordinates):
Sb (0.000, 0.000, 0.000)
Sb (0.750, 0.750, 0.750)
Au (0.250, 0.250, 0.250)
Ag (0.500, 0.500, 0.500)